Entry from Alexandria: crystalline SrSiSe2Br at its relaxed geometry (PBE).

Properties
DOS(E_F): 5.84 states/eV per cell
V: 38.76 Å³ per atom
Raw total energy: -2.94 eV per atom
Crystal system: tetragonal

Cell: 5.8527 5.8527 5.6572 Å, 90.00 90.00 90.00°
Atoms (fractional coordinates):
Br 0.0000 0.0000 0.5000
Se 0.0000 0.5000 0.0000
Se 0.5000 0.0000 0.0000
Si 0.5000 0.5000 0.5000
Sr 0.0000 0.0000 0.0000


Entry from Alexandria: crystalline AcCeGa4 at its relaxed geometry (PBE).

Properties
Formation energy: -45.20 kJ per mole of atoms
DOS(E_F): 7.92 states/eV per cell
V: 22.26 Å³ per atom
Crystal system: cubic

Cell: 5.7375 5.7375 5.7375 Å, 60.00 60.00 60.00°
Atoms (fractional coordinates):
Ga 0.6241 0.6241 0.6241
Ga 0.6241 0.1276 0.6241
Ga 0.1276 0.6241 0.6241
Ga 0.6241 0.6241 0.1276
Ac 0.0000 0.0000 0.0000
Ce 0.2500 0.2500 0.2500


Entry from Alexandria: crystalline NdGa2GePd at its relaxed geometry (PBE).

Properties
Formation energy: -66.14 kJ per mole of atoms
DOS(E_F): 1.14 states/eV per cell
V: 19.34 Å³ per atom
Crystal system: orthorhombic

Cell: 4.2712 4.1693 6.1954 Å, 109.66 110.16 90.00°
Atoms (fractional coordinates):
Pd 0.1960 0.6960 0.3921
Nd 0.4413 0.4413 0.8827
Ga 0.0588 0.0588 0.1175
Ga 0.6867 0.1867 0.3735
Ge 0.8292 0.8292 0.6585


Entry from Alexandria: crystalline AgSb2PPd at its relaxed geometry (PBE).

Properties
DOS(E_F): 3.59 states/eV per cell
V: 25.97 Å³ per atom
Raw total energy: -3.85 eV per atom
Crystal system: tetragonal

Cell: 5.4492 4.3734 5.4492 Å, 90.00 90.00 90.00°
Atoms (fractional coordinates):
P 0.0000 0.5000 0.0000
Sb 0.5000 0.0000 0.0000
Sb 0.0000 0.0000 0.5000
Ag 0.5000 0.5000 0.5000
Pd 0.0000 0.0000 0.0000